Model A:
The following is a DFT calculation (PBE-GGA) of NbNiOs after structural relaxation.

## Properties
As for the total magnetic moment: 0.0 μB/f.u. The value obtained for the density of states at the Fermi level is 1.1187 states/eV/atom.

Geometry as CIF:
```
data_NbNiOs
_chemical_formula_sum 'Nb1 Ni1 Os1'
_space_group_name_H-M_alt 'P -6 m 2'
_space_group_IT_number 187
_space_group_name_Hall 'P -6 2'
_cell_length_a 4.3556
_cell_length_b 4.3556
_cell_length_c 2.6899
_cell_angle_alpha 90.00
_cell_angle_beta 90.00
_cell_angle_gamma 120.00
loop_
_atom_site_label
_atom_site_type_symbol
_atom_site_fract_x
_atom_site_fract_y
_atom_site_fract_z
Nb1 Nb 0.0000 0.0000 0.0000
Ni1 Ni 0.3333 0.6667 0.5000
Os1 Os 0.6667 0.3333 0.5000
```



Model B:
The following is a DFT calculation (PBE-GGA) of NbNiOs after structural relaxation.

## Properties
As for the total magnetic moment: 0.0 μB/f.u. The value obtained for the density of states at the Fermi level is 0.5995 states/eV/atom.

Geometry as CIF:
```
data_NbNiOs
_chemical_formula_sum 'Nb2 Ni2 Os2'
_space_group_name_H-M_alt 'P 63/m m c'
_space_group_IT_number 194
_space_group_name_Hall '-P 6c 2c'
_cell_length_a 4.3124
_cell_length_b 4.3124
_cell_length_c 5.3200
_cell_angle_alpha 90.00
_cell_angle_beta 90.00
_cell_angle_gamma 120.00
loop_
_atom_site_label
_atom_site_type_symbol
_atom_site_fract_x
_atom_site_fract_y
_atom_site_fract_z
Nb1 Nb 0.3333 0.6667 0.2500
Ni1 Ni 0.3333 0.6667 0.7500
Os1 Os 0.0000 0.0000 0.0000
```



Best to worst by energy: model B, model A.



Model A:
The following is a DFT calculation (PBE-GGA) of Nb3NiOs after structural relaxation.

## Properties
As for the total magnetic moment: 0.0 μB/f.u. The value obtained for the density of states at the Fermi level is 1.1352 states/eV/atom.

Geometry as CIF:
```
data_Nb3NiOs
_chemical_formula_sum 'Nb3 Ni1 Os1'
_space_group_name_H-M_alt 'P m -3 m'
_space_group_IT_number 221
_space_group_name_Hall '-P 4 2 3'
_cell_length_a 4.5328
_cell_length_b 4.5328
_cell_length_c 4.5328
_cell_angle_alpha 90.00
_cell_angle_beta 90.00
_cell_angle_gamma 90.00
loop_
_atom_site_label
_atom_site_type_symbol
_atom_site_fract_x
_atom_site_fract_y
_atom_site_fract_z
Nb1 Nb 0.0000 0.0000 0.5000
Ni1 Ni 0.0000 0.0000 0.0000
Os1 Os 0.5000 0.5000 0.5000
```



Model B:
The following is a DFT calculation (PBE-GGA) of Nb3NiOs after structural relaxation.

## Properties
As for the total magnetic moment: 0.0 μB/f.u. The value obtained for the density of states at the Fermi level is 1.4723 states/eV/atom.

Geometry as CIF:
```
data_Nb3NiOs
_chemical_formula_sum 'Nb3 Ni1 Os1'
_space_group_name_H-M_alt 'P m -3 m'
_space_group_IT_number 221
_space_group_name_Hall '-P 4 2 3'
_cell_length_a 4.8214
_cell_length_b 4.8214
_cell_length_c 4.8214
_cell_angle_alpha 90.00
_cell_angle_beta 90.00
_cell_angle_gamma 90.00
loop_
_atom_site_label
_atom_site_type_symbol
_atom_site_fract_x
_atom_site_fract_y
_atom_site_fract_z
Nb1 Nb 0.0000 0.0000 0.5000
Ni1 Ni 0.5000 0.5000 0.5000
Os1 Os 0.0000 0.0000 0.0000
```



Best to worst by energy: model A, model B.



Model A:
The following is a DFT calculation (PBE-GGA) of NbNiP2S after structural relaxation.

## Properties
As for the total magnetic moment: 0.0 μB/f.u. The value obtained for the density of states at the Fermi level is 0.8502 states/eV/atom.

Geometry as CIF:
```
data_NbNiP2S
_chemical_formula_sum 'Nb1 Ni1 P2 S1'
_space_group_name_H-M_alt 'P 4/m m m'
_space_group_IT_number 123
_space_group_name_Hall '-P 4 2'
_cell_length_a 4.2863
_cell_length_b 4.2863
_cell_length_c 4.4685
_cell_angle_alpha 90.00
_cell_angle_beta 90.00
_cell_angle_gamma 90.00
loop_
_atom_site_label
_atom_site_type_symbol
_atom_site_fract_x
_atom_site_fract_y
_atom_site_fract_z
Nb1 Nb 0.0000 0.0000 0.0000
Ni1 Ni 0.5000 0.5000 0.5000
P1 P 0.0000 0.5000 0.5000
S1 S 0.5000 0.5000 0.0000
```



Model B:
The following is a DFT calculation (PBE-GGA) of NbNiP2S after structural relaxation.

## Properties
As for the total magnetic moment: 0.9 μB/f.u. The value obtained for the density of states at the Fermi level is 1.8509 states/eV/atom.

Geometry as CIF:
```
data_NbNiP2S
_chemical_formula_sum 'Nb1 Ni1 P2 S1'
_space_group_name_H-M_alt 'P 4/m m m'
_space_group_IT_number 123
_space_group_name_Hall '-P 4 2'
_cell_length_a 4.8298
_cell_length_b 4.8298
_cell_length_c 4.6937
_cell_angle_alpha 90.00
_cell_angle_beta 90.00
_cell_angle_gamma 90.00
loop_
_atom_site_label
_atom_site_type_symbol
_atom_site_fract_x
_atom_site_fract_y
_atom_site_fract_z
Nb1 Nb 0.0000 0.0000 0.0000
Ni1 Ni 0.5000 0.5000 0.5000
P1 P 0.0000 0.5000 0.0000
S1 S 0.0000 0.0000 0.5000
```



Best to worst by energy: model A, model B.



Model A:
The following is a DFT calculation (PBE-GGA) of PaNbNi2 after structural relaxation.

## Properties
As for the total magnetic moment: 0.0 μB/f.u. The value obtained for the density of states at the Fermi level is 1.3586 states/eV/atom.

Geometry as CIF:
```
data_PaNbNi2
_chemical_formula_sum 'Pa1 Nb1 Ni2'
_space_group_name_H-M_alt 'P 4/m m m'
_space_group_IT_number 123
_space_group_name_Hall '-P 4 2'
_cell_length_a 3.1376
_cell_length_b 3.1376
_cell_length_c 6.7231
_cell_angle_alpha 90.00
_cell_angle_beta 90.00
_cell_angle_gamma 90.00
loop_
_atom_site_label
_atom_site_type_symbol
_atom_site_fract_x
_atom_site_fract_y
_atom_site_fract_z
Pa1 Pa 0.0000 0.0000 0.0000
Nb1 Nb 0.0000 0.0000 0.5000
Ni1 Ni 0.5000 0.5000 0.2893
```



Model B:
The following is a DFT calculation (PBE-GGA) of PaNbNi2 after structural relaxation.

## Properties
As for the total magnetic moment: 0.0 μB/f.u. The value obtained for the density of states at the Fermi level is 1.0599 states/eV/atom.

Geometry as CIF:
```
data_PaNbNi2
_chemical_formula_sum 'Pa3 Nb3 Ni6'
_space_group_name_H-M_alt 'R -3 m'
_space_group_IT_number 166
_space_group_name_Hall '-R 3 2"'
_cell_length_a 3.0720
_cell_length_b 3.0720
_cell_length_c 25.2328
_cell_angle_alpha 90.00
_cell_angle_beta 90.00
_cell_angle_gamma 120.00
loop_
_atom_site_label
_atom_site_type_symbol
_atom_site_fract_x
_atom_site_fract_y
_atom_site_fract_z
Pa1 Pa 0.0000 0.0000 0.0000
Nb1 Nb 0.0000 0.0000 0.5000
Ni1 Ni 0.0000 0.0000 0.2397
```



Model C:
The following is a DFT calculation (PBE-GGA) of PaNbNi2 after structural relaxation.

## Properties
As for the total magnetic moment: 0.0 μB/f.u. The value obtained for the density of states at the Fermi level is 1.4116 states/eV/atom.

Geometry as CIF:
```
data_PaNbNi2
_chemical_formula_sum 'Pa1 Nb1 Ni2'
_space_group_name_H-M_alt 'P 4/m m m'
_space_group_IT_number 123
_space_group_name_Hall '-P 4 2'
_cell_length_a 4.1264
_cell_length_b 4.1264
_cell_length_c 3.8256
_cell_angle_alpha 90.00
_cell_angle_beta 90.00
_cell_angle_gamma 90.00
loop_
_atom_site_label
_atom_site_type_symbol
_atom_site_fract_x
_atom_site_fract_y
_atom_site_fract_z
Pa1 Pa 0.0000 0.0000 0.0000
Nb1 Nb 0.5000 0.5000 0.0000
Ni1 Ni 0.0000 0.5000 0.5000
```



Best to worst by energy: model C, model A, model B.